# PBE Ba2TlTeS4, relaxed
data_Ba2TlTeS4
_space_group_name_H-M_alt 'C 1 2/c 1'
_space_group_IT_number 15
_space_group_name_Hall '-C 2yc'
_cell_length_a 12.2302
_cell_length_b 12.1674
_cell_length_c 8.6966
_cell_angle_alpha 90.00
_cell_angle_beta 129.28
_cell_angle_gamma 90.00
loop_
_atom_site_label
_atom_site_type_symbol
_atom_site_fract_x
_atom_site_fract_y
_atom_site_fract_z
Ba1 Ba 0.0000 0.0000 0.0000
Ba2 Ba 0.2500 0.2500 0.0000
Tl1 Tl 0.0000 0.5000 0.0000
Te1 Te 0.2500 0.2500 0.5000
S1 S 0.0481 0.2493 0.5385
S2 S 0.2383 0.0243 0.4767
# **Fermi-level density of states**: 0.312 states/eV/atom
# **Total magnetization**: 0.00 μB per formula unit
# **E**: -0.30794 Ry per atom
# **Raw formation energy**: -0.957 eV/atom